# Dy2CI3 (PBE, optimized geometry)
# crystal system	monoclinic
# total magnetization	0.028	μB per atom
# raw formation energy	-1011.5	meV/atom
# excess energy over the best structure of this formula in the dataset	0.140	eV per atom
data_Dy2CI3
_chemical_formula_sum 'Dy8 C4 I12'
_cell_length_a 19.0320
_cell_length_b 4.0190
_cell_length_c 11.5107
_cell_angle_alpha 90.00
_cell_angle_beta 108.46
_cell_angle_gamma 90.00
_symmetry_space_group_name_H-M 'C 1 2/m 1'
_symmetry_Int_Tables_number 12
_symmetry_space_group_name_Hall '-C 2y'
loop_
_atom_site_label
_atom_site_type_symbol
_atom_site_fract_x
_atom_site_fract_y
_atom_site_fract_z
Dy1 Dy 0.0633 0.0000 0.1891
Dy2 Dy 0.1082 0.5000 0.9440
C1 C 0.0171 0.5000 0.0617
I1 I 0.0786 0.0000 0.7297
I2 I 0.1315 0.5000 0.3945
I3 I 0.2117 0.0000 0.1268